## Nd4FeSn8 (GGA-PBEsol)

Data for an optimized crystal structure of Nd4FeSn8.

Cell lengths 4.4327, 4.5137, 16.5483 Å; angles 90.00, 90.00, 90.00 degrees
Fractional positions:
Nd 0.0000 0.0000 0.0966
Nd 0.0000 0.5000 0.6032
Nd 0.5000 0.5000 0.3963
Nd 0.5000 0.0000 0.9006
Fe 0.0000 0.0000 0.3036
Sn 0.0000 0.0000 0.4530
Sn 0.0000 0.5000 0.9351
Sn 0.5000 0.5000 0.0603
Sn 0.5000 0.0000 0.5718
Sn 0.0000 0.5000 0.2399
Sn 0.0000 0.0000 0.7518
Sn 0.5000 0.0000 0.2376
Sn 0.5000 0.5000 0.7530

Output
magnetic moment	1.6	μB/f.u.
total energy	-5.511	eV/atom
calculated volume	25.5	A^3/atom

***

## Fe3Ni (GGA-PBEsol)

Data for an optimized crystal structure of Fe3Ni.

Cell lengths 2.4205, 2.4205, 8.1314 Å; angles 81.44, 81.44, 60.00 degrees
Fractional positions:
Fe 0.7488 0.7488 0.7536
Fe 0.0000 0.0000 0.0000
Fe 0.2512 0.2512 0.2464
Ni 0.5000 0.5000 0.5000

Output
magnetic moment	1.7	μB/f.u.
total energy	-8.180	eV/atom
calculated volume	10.2	A^3/atom

***

## Fe4Ni3 (GGA-PBEsol)

Data for an optimized crystal structure of Fe4Ni3.

Cell lengths 4.4165, 4.5089, 4.5089 Å; angles 120.00, 90.00, 90.00 degrees
Fractional positions:
Fe 0.7432 0.0000 0.0000
Fe 0.2568 0.0000 0.0000
Fe 0.5000 0.3333 0.6667
Fe 0.5000 0.6667 0.3333
Ni 0.0000 0.0000 0.5000
Ni 0.0000 0.5000 0.0000
Ni 0.0000 0.5000 0.5000

Output
magnetic moment	12.3	μB/f.u.
total energy	-7.682	eV/atom
calculated volume	11.1	A^3/atom

***

## FeNi3 (GGA-PBEsol)

Data for an optimized crystal structure of FeNi3.

Cell lengths 4.2424, 4.2424, 4.2424 Å; angles 90.00, 90.00, 90.00 degrees
Fractional positions:
Fe 0.0000 0.0000 0.0000
Ni 0.5000 0.0000 0.0000
Ni 0.0000 0.5000 0.0000
Ni 0.0000 0.0000 0.5000

Output
magnetic moment	4.4	μB/f.u.
total energy	-5.104	eV/atom
calculated volume	19.1	A^3/atom

***

## Fe4Ni5 (GGA-PBEsol)

Data for an optimized crystal structure of Fe4Ni5.

Cell lengths 3.4261, 5.5808, 5.5808 Å; angles 84.59, 72.12, 72.12 degrees
Fractional positions:
Fe 0.0000 0.6713 0.3287
Fe 0.0000 0.3287 0.6713
Fe 0.6713 0.3287 0.3287
Fe 0.3287 0.6713 0.6713
Ni 0.0000 0.0000 0.0000
Ni 0.6658 0.0000 0.6685
Ni 0.3342 0.0000 0.3315
Ni 0.6658 0.6685 0.0000
Ni 0.3342 0.3315 0.0000

Output
magnetic moment	13.6	μB/f.u.
total energy	-7.421	eV/atom
calculated volume	10.7	A^3/atom

***

## Fe2Ni3 (GGA-PBEsol)

Data for an optimized crystal structure of Fe2Ni3.

Cell lengths 4.3456, 4.7159, 6.3391 Å; angles 99.09, 110.05, 62.57 degrees
Fractional positions:
Fe 0.5419 0.5538 0.8978
Fe 0.1980 0.4462 0.1022
Fe 0.8941 0.0538 0.6022
Fe 0.3458 0.9462 0.3978
Ni 0.4528 0.0807 0.7982
Ni 0.7352 0.9193 0.2018
Ni 0.9046 0.5807 0.7018
Ni 0.7835 0.4193 0.2982
Ni 0.0721 0.0000 0.0000
Ni 0.3221 0.5000 0.5000

Output
magnetic moment	7.3	μB/f.u.
total energy	-7.245	eV/atom
calculated volume	10.8	A^3/atom

***

## Fe3Ni (GGA-PBEsol)

Data for an optimized crystal structure of Fe3Ni.

Cell lengths 2.8351, 2.8351, 5.5051 Å; angles 90.00, 90.00, 90.00 degrees
Fractional positions:
Ni 0.5000 0.5000 0.5000
Fe 0.0000 0.0000 0.7518
Fe 0.5000 0.5000 0.0000
Fe 0.0000 0.0000 0.2482

Output
magnetic moment	8.4	μB/f.u.
total energy	-8.196	eV/atom
calculated volume	11.1	A^3/atom

***

## Fe3Ni (GGA-PBEsol)

Data for an optimized crystal structure of Fe3Ni.

Cell lengths 3.4756, 3.4756, 3.4756 Å; angles 90.00, 90.00, 90.00 degrees
Fractional positions:
Ni 0.5000 0.5000 0.5000
Fe 0.0000 0.0000 0.5000
Fe 0.0000 0.5000 0.0000
Fe 0.5000 0.0000 0.0000

Output
magnetic moment	6.0	μB/f.u.
total energy	-8.188	eV/atom
calculated volume	10.5	A^3/atom

***

- Which formula does entry 7 have?
  Fe3Ni

***

- The lowest total energy belongs to which entry?
  number 7

***

- The highest calculated volume belongs to which entry?
  Nd4FeSn8

***

- Which value of total energy does entry 5 give?
  -7.421 eV/atom